No. 1
Below is a relaxed SrScH5 crystal, with properties calculated at the PBE level.

It has space group C2/c (No. 15), with a = 4.0603 Å, b = 14.4673 Å, c = 5.2618 Å, α = 90.00°, β = 91.67° and γ = 90.00°. The asymmetric unit holds Sr at (0.0000, 0.1697, 0.2500), Sc at (0.0000, 0.4270, 0.2500), H at (0.0000, 0.1226, 0.7500), H at (0.0046, 0.3185, 0.0143) and H at (0.2232, 0.4680, 0.5795).

As for the total energy: -4.0567 eV per atom. The mass density is 2.959 Mg/m³.

No. 2
Below is a relaxed CaLaAg3 crystal, with properties calculated at the PBE level.

It has space group Pm-3m (No. 221), with a = 5.5900 Å, b = 5.5900 Å, c = 5.5900 Å, α = 90.00°, β = 90.00° and γ = 90.00°. The asymmetric unit holds Ca at (0.0000, 0.0000, 0.0000), La at (0.5000, 0.5000, 0.5000) and Ag at (0.0000, 0.5000, 0.5000).

Its energy of formation is 42 kJ per mole of atoms. The relative energy among the computed polymorphs comes out at 729 meV/atom. The mass density is 4.778 Mg/m³.

No. 3
Below is a relaxed CuIr crystal, with properties calculated at the PBE level.

It has space group I4/mmm (No. 139), with a = 7.8209 Å, b = 7.8209 Å, c = 3.7524 Å, α = 90.00°, β = 90.00° and γ = 90.00°. The asymmetric unit holds Cu at (0.0000, 0.3326, 0.0000) and Ir at (0.1640, 0.1640, 0.5000).

Its energy of formation is 27 kJ per mole of atoms. The mass density is 14.803 Mg/m³.

No. 4
Below is a relaxed Np2Ge6Pt21 crystal, with properties calculated at the PBE level.

It has space group Immm (No. 71), with a = 8.4715 Å, b = 10.4051 Å, c = 11.5490 Å, α = 90.00°, β = 90.00° and γ = 90.00°. The asymmetric unit holds Np at (0.0000, 0.0000, 0.2304), Ge at (0.0000, 0.5000, 0.2728), Ge at (0.2271, 0.2863, 0.0000), Pt at (0.0000, 0.1297, 0.5000), Pt at (0.0000, 0.2932, 0.1425), Pt at (0.0000, 0.5000, 0.5000), Pt at (0.1641, 0.0000, 0.0000), Pt at (0.2174, 0.3465, 0.3273) and Pt at (0.2286, 0.5000, 0.1194).

Its energy of formation is -29 kJ per mole of atoms. The mass density is 16.333 Mg/m³.

No. 5
Below is a relaxed CdMoP4 crystal, with properties calculated at the PBE level.

It has space group F-43m (No. 216), with a = 7.2089 Å, b = 7.2089 Å, c = 7.2089 Å, α = 90.00°, β = 90.00° and γ = 90.00°. The asymmetric unit holds Cd at (0.0000, 0.0000, 0.0000), Mo at (0.2500, 0.2500, 0.7500) and P at (0.1217, 0.1217, 0.3783).

Its energy of formation is 71 kJ per mole of atoms. The mass density is 5.891 Mg/m³.